Entry 1:
VASP calculation (GGA-PBE) on Nd2HgCl after structural relaxation.

## Properties
Symmetry: R-3m
Crystal system: trigonal
ΔE_f (raw), eV per atom: -0.897
DOS at the Fermi energy, states/eV per atom: 0.750
Calculated density, g cm⁻³: 7.8
Offset from the most stable computed form, meV per atom: 0

Cell lengths 7.5290, 7.5290, 7.5290 Å; angles 32.91, 32.91, 32.91 degrees
Fractional positions:
Nd1 0.2433 0.2433 0.2433
Nd2 0.7567 0.7567 0.7567
Hg1 0.0000 0.0000 0.0000
Cl1 0.5000 0.5000 0.5000



Entry 2:
VASP calculation (GGA-PBE) on MgGe2Os after structural relaxation.

## Properties
Symmetry: I-42d
E_form, eV/atom: 0.5194
Crystal system: tetragonal
DOS at the Fermi energy, states/eV per atom: 0.743
Calculated density, g cm⁻³: 5.9

Cell lengths 6.8872, 6.8872, 6.8872 Å; angles 126.77, 126.77, 78.62 degrees
Fractional positions:
Mg1 0.0000 0.0000 0.0000
Mg2 0.7500 0.2500 0.5000
Ge1 0.1797 0.6250 0.0547
Ge2 0.3750 0.4297 0.5547
Ge3 0.5703 0.1250 0.9453
Ge4 0.8750 0.8203 0.4453
Os1 0.2500 0.7500 0.5000
Os2 0.5000 0.5000 0.0000



Repeat the second record exactly.
VASP calculation (GGA-PBE) on MgGe2Os after structural relaxation.

## Properties
Symmetry: I-42d
E_form, eV/atom: 0.5194
Crystal system: tetragonal
DOS at the Fermi energy, states/eV per atom: 0.743
Calculated density, g cm⁻³: 5.9

Cell lengths 6.8872, 6.8872, 6.8872 Å; angles 126.77, 126.77, 78.62 degrees
Fractional positions:
Mg1 0.0000 0.0000 0.0000
Mg2 0.7500 0.2500 0.5000
Ge1 0.1797 0.6250 0.0547
Ge2 0.3750 0.4297 0.5547
Ge3 0.5703 0.1250 0.9453
Ge4 0.8750 0.8203 0.4453
Os1 0.2500 0.7500 0.5000
Os2 0.5000 0.5000 0.0000



calculated density of number 1 (Nd2HgCl)?
7.8 g cm⁻³



Look up the calculated density of the first one.
7.8 g cm⁻³